Arrangement w

Material: PrThBiSb
Method: DFT, PBE
State: relaxed

Its crystal system is tetragonal.

Structure (extended XYZ):
```
4
Lattice="-4.3090 0.6265 1.3672 -1.5032 -1.6651 -3.9746 -0.0665 -5.9645 2.5238" Properties=species:S:1:pos:R:3 pbc="T T T"
Pr -2.9061 -0.5193 -1.3037
Th -0.0332 -2.9822 1.2619
Bi 0.0000 0.0000 0.0000
Sb -2.9393 -3.5015 -0.0418
```

---

Arrangement x

Material: PrThBiSb
Method: DFT, PBE
State: relaxed

Its crystal system is cubic.

Structure (extended XYZ):
```
4
Lattice="5.5564 0.0000 0.0000 2.7782 4.8120 0.0000 2.7782 1.6040 4.5368" Properties=species:S:1:pos:R:3 pbc="T T T"
Pr 0.0000 0.0000 0.0000
Sb 2.7782 1.6040 1.1342
Bi 8.3346 4.8120 3.4026
Th 5.5564 3.2080 2.2684
```

---

Energies, relative to the best one, in kJ/mol of atoms: arrangement w 0.0; arrangement x 19.9.

---

Arrangement w

Material: PrScBi2
Method: DFT, PBE
State: relaxed

Its crystal system is tetragonal.

Structure (extended XYZ):
```
4
Lattice="3.7314 0.0000 0.0000 0.0000 3.7314 0.0000 0.0000 0.0000 8.2593" Properties=species:S:1:pos:R:3 pbc="T T T"
Pr 1.8657 1.8657 4.1296
Sc 1.8657 1.8657 0.0000
Bi 0.0000 0.0000 6.3928
Bi 0.0000 0.0000 1.8665
```

---

Arrangement x

Material: PrScBi2
Method: DFT, PBE
State: relaxed

Its crystal system is orthorhombic.

Structure (extended XYZ):
```
8
Lattice="-2.6819 -0.3722 -3.5322 -5.0338 -0.5181 3.8765 -1.0249 8.8236 -0.1516" Properties=species:S:1:pos:R:3 pbc="T T T"
Pr -3.4085 7.4169 1.8063
Pr -1.4742 0.9616 -1.7858
Sc -1.9826 5.3379 -1.8611
Sc -2.9001 3.0406 1.8816
Bi -0.8805 7.5807 -0.1303
Bi -0.4058 3.4935 -0.0600
Bi -4.4769 4.8849 0.0805
Bi -4.0022 0.7978 0.1508
```

---

Energies, relative to the best one, in kJ/mol of atoms: arrangement w 21.9; arrangement x 0.0.

---

Arrangement w

Material: PrScBi2
Method: DFT, PBE
State: relaxed

Its crystal system is trigonal.

Structure (extended XYZ):
```
4
Lattice="-4.0982 -1.4223 1.0710 -0.8884 -4.3777 0.1076 0.2377 -2.1471 7.3795" Properties=species:S:1:pos:R:3 pbc="T T T"
Pr -2.3745 -3.9736 4.2791
Sc 0.0000 0.0000 0.0000
Bi -3.5134 -5.9658 6.5961
Bi -1.2355 -1.9814 1.9620
```

---

Arrangement x

Material: PrScBi2
Method: DFT, PBE
State: relaxed

Its crystal system is trigonal.

Structure (extended XYZ):
```
4
Lattice="4.4300 0.0000 0.0000 2.2150 3.8365 0.0000 2.2150 1.2788 7.5920" Properties=species:S:1:pos:R:3 pbc="T T T"
Pr 6.6450 3.8365 7.5484
Sc 4.4300 2.5577 3.8412
Bi 2.2150 1.2788 5.5611
Bi 2.2150 1.2788 2.0292
```

---

Energies, relative to the best one, in kJ/mol of atoms: arrangement w 0.0; arrangement x 10.7.

---

Arrangement w

Material: Pr2ScBi3
Method: DFT, PBE
State: relaxed

Its crystal system is orthorhombic.

Structure (extended XYZ):
```
6
Lattice="-2.6531 -3.2130 -1.7550 3.0493 0.5705 -5.6543 4.2428 -3.3940 5.6239" Properties=species:S:1:pos:R:3 pbc="T T T"
Pr 0.1910 -3.2178 -0.2217
Pr 4.4481 -2.8188 -1.5637
Sc 1.5247 0.2852 -2.8272
Bi 3.0837 -3.2742 1.3327
Bi 0.0000 0.0000 0.0000
Bi 1.5554 -2.7624 -3.1181
```

---

Arrangement x

Material: Pr2ScBi3
Method: DFT, PBE
State: relaxed

Its crystal system is monoclinic.

Structure (extended XYZ):
```
12
Lattice="7.7377 -0.0313 -1.2982 -4.1753 6.5146 -1.2982 -0.0213 -0.0387 7.8309" Properties=species:S:1:pos:R:3 pbc="T T T"
Pr 5.7418 1.0402 2.6173
Pr -0.2043 4.3326 -1.2982
Pr -2.1348 5.3682 2.6172
Pr 1.7051 3.2583 2.6172
Sc -4.1724 6.4626 6.5326
Sc 3.7212 2.1253 6.5327
Bi 0.7465 6.0631 4.0351
Bi -1.1764 2.5635 1.1994
Bi 4.5537 3.7726 4.0445
Bi 0.9471 1.5339 5.3427
Bi 2.7983 0.5780 1.1900
Bi 2.7543 4.8227 -0.1082
```

---

Energies, relative to the best one, in kJ/mol of atoms: arrangement w 0.9; arrangement x 0.0.

---

Arrangement w

Material: Pr2ScBi
Method: DFT, PBE
State: relaxed

Its crystal system is trigonal.

Structure (extended XYZ):
```
4
Lattice="3.5437 0.0000 0.0000 1.7719 3.0689 0.0000 1.7719 1.0230 12.1264" Properties=species:S:1:pos:R:3 pbc="T T T"
Pr 1.7719 1.0230 8.8396
Pr 5.3156 3.0689 3.2868
Sc 3.5437 2.0460 6.0632
Bi 0.0000 0.0000 0.0000
```

---

Arrangement x

Material: Pr2ScBi
Method: DFT, PBE
State: relaxed

Its crystal system is tetragonal.

Structure (extended XYZ):
```
4
Lattice="-3.5541 2.9282 -1.7292 -0.7755 -3.1193 -3.6883 -3.2922 -2.3923 2.7154" Properties=species:S:1:pos:R:3 pbc="T T T"
Pr -1.6461 -1.1962 1.3577
Pr -0.3877 -1.5597 -1.8442
Sc -1.7770 1.4641 -0.8646
Bi -3.8109 -1.2917 -1.3511
```

---

Energies, relative to the best one, in kJ/mol of atoms: arrangement w 38.3; arrangement x 0.0.

---

Arrangement w

Material: Pr3BiSe2
Method: DFT, PBE
State: relaxed

Its crystal system is orthorhombic.

Structure (extended XYZ):
```
12
Lattice="4.6525 0.0000 0.0000 -2.3263 7.3263 0.0000 0.0000 0.0000 10.9759" Properties=species:S:1:pos:R:3 pbc="T T T"
Pr 2.3263 2.1146 0.5804
Pr 0.0000 1.3503 8.2319
Pr 2.3263 2.1146 4.9075
Pr 2.3263 5.9760 2.7440
Pr 0.0000 5.2116 10.3955
Pr 0.0000 5.2116 6.0683
Bi 0.0000 3.5750 2.7440
Bi 2.3263 3.7513 8.2319
Se 0.0000 0.0000 0.0000
Se 0.0000 0.0000 5.4879
Se 2.3263 0.2655 2.7440
Se 0.0000 7.0608 8.2319
```

---

Arrangement x

Material: Pr3BiSe2
Method: DFT, PBE
State: relaxed

Its crystal system is monoclinic.

Structure (extended XYZ):
```
12
Lattice="-6.3483 -0.2306 4.2734 -2.1013 -4.6544 -5.6254 5.0735 -2.3164 5.1592" Properties=species:S:1:pos:R:3 pbc="T T T"
Pr -4.9978 -1.6120 5.1259
Pr -3.1201 -1.9192 1.0404
Pr -1.0506 -2.3272 -2.8127
Pr 1.6218 -5.5894 -1.3187
Pr -0.6374 -1.2735 4.7163
Pr -0.2559 -5.2822 2.7668
Bi -0.6561 -3.7239 0.0008
Bi -2.7199 -3.4774 3.8064
Se -3.0876 -4.5163 -3.6541
Se 1.6461 -2.9737 3.4612
Se -0.2884 -2.6851 7.4613
Se -5.0221 -4.2276 0.3460
```

---

Energies, relative to the best one, in kJ/mol of atoms: arrangement w 23.8; arrangement x 0.0.

---

Arrangement w

Material: Pr2BiSe
Method: DFT, PBE
State: relaxed

Its crystal system is trigonal.

Structure (extended XYZ):
```
4
Lattice="4.4575 0.0000 -0.0023 -2.2275 3.8611 0.0023 -2.2209 -1.2918 7.2836" Properties=species:S:1:pos:R:3 pbc="T T T"
Pr 0.0047 -0.0027 5.3249
Pr 0.0044 2.5720 1.9586
Bi 2.2365 -1.2918 7.2813
Se -2.2241 1.2846 3.6431
```

---

Arrangement x

Material: Pr2BiSe
Method: DFT, PBE
State: relaxed

Its crystal system is trigonal.

Structure (extended XYZ):
```
4
Lattice="4.3878 0.0000 0.0000 2.1939 3.8000 0.0000 2.1939 1.2667 7.6028" Properties=species:S:1:pos:R:3 pbc="T T T"
Pr 2.1939 1.2667 5.9015
Pr 2.1939 1.2667 1.7322
Bi 4.3878 2.5333 3.8179
Se 6.5817 3.8000 7.5553
```

---

Energies, relative to the best one, in kJ/mol of atoms: arrangement w 0.0; arrangement x 6.3.

---

Arrangement w

Material: Pr2SmBi
Method: DFT, PBE
State: relaxed

Its crystal system is monoclinic.

Structure (extended XYZ):
```
8
Lattice="4.7214 0.0000 -0.0187 0.0000 4.7211 0.0000 -2.3088 0.0000 12.0037" Properties=species:S:1:pos:R:3 pbc="T T T"
Pr 2.3676 1.1803 1.5885
Pr 0.0450 3.5408 10.3965
Pr 0.0070 3.5408 1.4434
Pr 2.4056 1.1803 10.5416
Sm 2.3799 3.5408 4.6472
Sm 0.0327 1.1803 7.3378
Bi 0.0173 1.1803 4.1130
Bi 2.3954 3.5408 7.8720
```

---

Arrangement x

Material: Pr2SmBi
Method: DFT, PBE
State: relaxed

Its crystal system is trigonal.

Structure (extended XYZ):
```
4
Lattice="3.6250 0.0000 0.0000 1.8125 3.1393 0.0000 1.8125 1.0464 12.5148" Properties=species:S:1:pos:R:3 pbc="T T T"
Pr 1.8125 1.0464 9.2510
Pr 5.4375 3.1393 3.2638
Bi 0.0000 0.0000 0.0000
Sm 3.6250 2.0929 6.2574
```

---

Energies, relative to the best one, in kJ/mol of atoms: arrangement w 0.0; arrangement x 42.3.

---

Arrangement w

Material: Pr2SmBi
Method: DFT, PBE
State: relaxed

Its crystal system is trigonal.

Structure (extended XYZ):
```
4
Lattice="4.1915 0.0000 0.0000 2.0958 3.6300 0.0000 2.0958 1.2100 9.7983" Properties=species:S:1:pos:R:3 pbc="T T T"
Pr 2.0958 1.2100 7.7160
Pr 2.0958 1.2100 2.0799
Sm 4.1915 2.4200 4.9017
Bi 6.2873 3.6300 9.7983
```

---

Arrangement x

Material: Pr2SmBi
Method: DFT, PBE
State: relaxed

Its crystal system is tetragonal.

Structure (extended XYZ):
```
4
Lattice="4.3275 0.0000 0.0000 0.0000 4.3275 0.0000 0.0000 0.0000 7.0622" Properties=species:S:1:pos:R:3 pbc="T T T"
Pr 0.0000 0.0000 5.1580
Pr 0.0000 0.0000 1.9042
Bi 2.1637 2.1637 3.5311
Sm 2.1637 2.1637 0.0000
```

---

Energies, relative to the best one, in kJ/mol of atoms: arrangement w 16.3; arrangement x 0.0.

---

Arrangement w

Material: PrSm2Bi
Method: DFT, PBE
State: relaxed

Its crystal system is trigonal.

Structure (extended XYZ):
```
4
Lattice="-2.4580 1.6437 2.8903 0.1494 -1.4073 3.8852 6.1218 6.6591 4.3770" Properties=species:S:1:pos:R:3 pbc="T T T"
Pr 1.9025 3.4438 5.5749
Sm 4.6812 5.2836 3.9341
Sm 0.6714 1.4547 2.7014
Bi -1.5353 0.1612 4.5181
```

---

Arrangement x

Material: PrSm2Bi
Method: DFT, PBE
State: relaxed

Its crystal system is orthorhombic.

Structure (extended XYZ):
```
8
Lattice="4.7400 0.0000 -0.0211 0.0000 4.6958 0.0000 -2.3174 0.0000 11.8982" Properties=species:S:1:pos:R:3 pbc="T T T"
Pr 2.3912 3.5218 4.6041
Pr 0.0314 1.1739 7.2729
Sm 2.3771 1.1739 1.4605
Sm 0.0455 3.5218 10.4165
Sm 0.0059 3.5218 1.3893
Sm 2.4167 1.1739 10.4878
Bi 0.0191 1.1739 3.9555
Bi 2.4035 3.5218 7.9215
```

---

Energies, relative to the best one, in kJ/mol of atoms: arrangement w 23.2; arrangement x 0.0.

---

Arrangement w

Material: Pr3SmBi3
Method: DFT, PBE
State: relaxed

Its crystal system is cubic.

Structure (extended XYZ):
```
28
Lattice="-6.1608 -3.5491 6.6331 7.1389 -5.4623 3.7079 2.3728 7.2192 6.0666" Properties=species:S:1:pos:R:3 pbc="T T T"
Pr -2.3435 -3.3966 7.7276
Pr 3.1204 -1.6690 15.2786
Pr 0.5474 -4.3024 9.9138
Pr 5.5408 -2.7955 6.1830
Pr 0.5987 -0.3202 2.9315
Pr 5.4941 -0.7275 9.2940
Pr 4.0041 1.5068 5.5059
Pr 1.2339 3.8220 7.7855
Pr 0.0618 1.7654 10.6758
Pr 2.2709 -1.2146 11.1190
Pr -1.9899 0.7182 6.6440
Pr 1.5674 -4.1407 5.3866
Sm 5.8421 3.3224 8.2275
Sm -3.8489 0.4415 9.8920
Sm 1.4349 -0.7675 7.0255
Sm 3.2739 -6.5811 7.6702
Bi 2.2067 1.1123 13.3837
Bi -4.7690 -1.2736 7.3301
Bi 0.7118 -3.1331 13.2252
Bi 3.3778 -1.4076 4.1973
Bi 0.5775 2.0464 5.1466
Bi 4.6720 -5.6599 4.9228
Bi 3.8740 4.9133 6.2408
Bi 3.0375 1.3409 8.8525
Bi -1.0239 -2.2067 5.0090
Bi 5.0557 -2.2443 12.4352
Bi -0.7542 -1.0835 9.3621
Bi 3.1401 -3.1581 8.3401
```

---

Arrangement x

Material: Pr3SmBi3
Method: DFT, PBE
State: relaxed

Its crystal system is trigonal.

Structure (extended XYZ):
```
14
Lattice="-8.6277 3.6526 1.3776 -6.7915 -5.2664 3.9769 -3.3209 1.5459 7.6505" Properties=species:S:1:pos:R:3 pbc="T T T"
Pr -11.0294 -1.9127 9.4281
Pr -10.1626 3.6759 7.1739
Pr -5.5912 -0.3448 7.1849
Pr -13.1489 0.2769 5.8202
Pr -8.5775 -3.7438 5.8311
Pr -7.7107 1.8447 3.5769
Sm -5.1381 -0.5361 1.7900
Sm -13.6019 0.4682 11.2150
Bi -7.0349 -1.3042 4.3737
Bi -10.8413 2.1382 4.3310
Bi -11.6464 -2.5542 6.2477
Bi -7.0937 2.4863 6.7574
Bi -7.8988 -2.2061 8.6740
Bi -11.7052 1.2363 8.6314
```

---

Energies, relative to the best one, in kJ/mol of atoms: arrangement w 0.0; arrangement x 9.2.

---

Arrangement w

Material: PrSm3Bi3
Method: DFT, PBE
State: relaxed

Its crystal system is trigonal.

Structure (extended XYZ):
```
14
Lattice="-2.8278 6.1187 -6.5759 1.8226 -1.6757 -9.0856 -5.8771 -1.6537 -5.7541" Properties=species:S:1:pos:R:3 pbc="T T T"
Pr -6.2058 -0.1691 -10.9739
Pr -0.6766 2.9584 -10.4416
Sm -3.8807 -0.4857 -14.0213
Sm -6.5495 3.6290 -10.4747
Sm -4.0058 -1.2855 -8.0232
Sm -2.8766 4.0747 -13.3923
Sm -0.3328 -0.8397 -10.9408
Sm -3.0017 3.2750 -7.3942
Bi -1.3315 0.5252 -8.2319
Bi -3.5160 4.7215 -10.1946
Bi -1.2864 1.3070 -13.2935
Bi -5.5960 1.4822 -8.1221
Bi -3.3663 -1.9322 -11.2209
Bi -5.5509 2.2640 -13.1837
```

---

Arrangement x

Material: PrSm3Bi3
Method: DFT, PBE
State: relaxed

Its crystal system is cubic.

Structure (extended XYZ):
```
28
Lattice="-6.0679 7.0434 -2.5090 0.5686 -2.7872 -9.1996 -7.4553 -5.9453 1.3405" Properties=species:S:1:pos:R:3 pbc="T T T"
Pr -7.0328 -6.6182 -4.1812
Pr -9.8534 2.9563 -2.2167
Pr -5.5621 -0.7252 -4.4516
Pr -3.4609 1.0089 -9.8868
Sm -6.1352 3.8162 -4.7635
Sm -11.9954 -1.5641 -9.6004
Sm -6.9902 1.9820 -7.8754
Sm -3.0119 -2.9244 -7.5678
Sm -2.3176 -0.3022 -1.8549
Sm -6.5429 -4.0633 -7.4493
Sm -4.4868 -4.0786 -3.3349
Sm -7.9565 -3.1219 -1.3575
Sm -10.0585 -0.9949 -3.5567
Sm -8.8057 -1.1482 -7.0476
Sm -6.6168 1.3045 -1.5505
Sm -2.8103 0.9599 -6.2505
Bi -4.1822 3.5165 -7.5993
Bi -6.5931 1.9301 -11.0621
Bi -4.2229 -5.7755 -6.0346
Bi -2.3506 -2.0351 -4.5590
Bi -5.1897 -1.5229 -1.0951
Bi -8.4448 -6.6496 -7.3508
Bi -12.4635 1.1336 -3.5976
Bi -7.6233 -3.2182 -4.5451
Bi -3.7982 2.0795 -3.4206
Bi -9.3422 -0.0551 -0.5701
Bi -8.0926 1.2776 -4.6912
Bi -5.4247 -0.8159 -7.6835
```

---

Energies, relative to the best one, in kJ/mol of atoms: arrangement w 9.5; arrangement x 0.0.